1.
An optimized crystal structure of Zr2HgMo, computed with GGA-PBEsol.

As for the density of states at the Fermi level: 3.61 states/eV/cell. Its calculated formation energy is -102 meV per atom. The total magnetization is 0.0 Bohr magnetons per cell.

It has space group P4/mmm (No. 123), with a = 4.665 Å, b = 4.665 Å, c = 3.527 Å, α = 90.00°, β = 90.00° and γ = 90.00°. Symmetry generates all atoms from Zr at (0.000, 0.500, 0.000), Hg at (0.000, 0.000, 0.500) and Mo at (0.500, 0.500, 0.500).

=====

2.
An optimized crystal structure of ZrHg2Mo, computed with GGA-PBEsol.

As for the density of states at the Fermi level: 2.79 states/eV/cell. The energy above the most stable polymorph in this dataset is 0 meV per atom. Its calculated formation energy is 162 meV per atom. The total magnetization is 0.0 Bohr magnetons per cell.

It has space group Pm (No. 6), with a = 2.968 Å, b = 4.801 Å, c = 5.277 Å, α = 90.00°, β = 92.50° and γ = 90.00°. Symmetry generates all atoms from Zr at (0.000, 0.000, 0.000), Hg at (0.541, 0.000, 0.512), Hg at (0.564, 0.500, 0.208) and Mo at (0.132, 0.500, 0.713).

=====

3.
An optimized crystal structure of NaHgN2O, computed with GGA-PBEsol.

Its energy relative to the elements, uncorrected is 1361 meV per atom. As for the density of states at the Fermi level: 2.55 states/eV/cell. The total magnetization is 3.2 Bohr magnetons per cell.

It has space group P4/mmm (No. 123), with a = 4.253 Å, b = 4.253 Å, c = 4.316 Å, α = 90.00°, β = 90.00° and γ = 90.00°. Symmetry generates all atoms from Na at (0.000, 0.000, 0.000), Hg at (0.500, 0.500, 0.500), N at (0.000, 0.500, 0.500) and O at (0.500, 0.500, 0.000).

=====

In the order shown, the computed DFT total energy values come out to -7.731; -5.336; -3.493 eV per atom.